[1]
An optimized crystal structure of MgSnBi3. Source: Alexandria via LeMat-Bulk, functional GGA-PBEsol.

a b c (Å): 5.4495 5.4495 5.4495
angles (deg): 90.00 90.00 90.00
Fractional positions:
Mg 0.0000 0.0000 0.0000
Sn 0.5000 0.5000 0.5000
Bi 0.0000 0.0000 0.5000
Bi 0.0000 0.5000 0.0000
Bi 0.5000 0.0000 0.0000

**Formation enthalpy at 0 K**: 0.482 eV per atom
**DOS at the Fermi energy**: 3.7 states/eV/f.u.


[2]
An optimized crystal structure of Mg2SnBi2. Source: Alexandria via LeMat-Bulk, functional GGA-PBEsol.

a b c (Å): 8.8383 8.8383 3.4830
angles (deg): 90.00 90.00 90.00
Fractional positions:
Mg 0.1341 0.3659 0.0000
Mg 0.3659 0.8659 0.0000
Mg 0.6341 0.1341 0.0000
Mg 0.8659 0.6341 0.0000
Sn 0.0000 0.0000 0.5000
Sn 0.5000 0.5000 0.5000
Bi 0.1648 0.6648 0.5000
Bi 0.3352 0.1648 0.5000
Bi 0.6648 0.8352 0.5000
Bi 0.8352 0.3352 0.5000

**Formation enthalpy at 0 K**: -0.074 eV per atom
**DOS at the Fermi energy**: 2.5 states/eV/f.u.


[3]
An optimized crystal structure of MgTa3Bi. Source: Alexandria via LeMat-Bulk, functional GGA-PBEsol.

a b c (Å): 5.1083 5.1083 5.1083
angles (deg): 90.00 90.00 90.00
Fractional positions:
Mg 0.0000 0.0000 0.0000
Ta 0.0000 0.5000 0.5000
Ta 0.5000 0.0000 0.5000
Ta 0.5000 0.5000 0.0000
Bi 0.5000 0.5000 0.5000

**Formation enthalpy at 0 K**: 2.192 eV per atom
**DOS at the Fermi energy**: 7.1 states/eV/f.u.


[4]
An optimized crystal structure of MgTc3Bi. Source: Alexandria via LeMat-Bulk, functional GGA-PBEsol.

a b c (Å): 4.9431 4.9431 4.9431
angles (deg): 90.00 90.00 90.00
Fractional positions:
Mg 0.0000 0.0000 0.0000
Tc 0.0000 0.5000 0.5000
Tc 0.5000 0.0000 0.5000
Tc 0.5000 0.5000 0.0000
Bi 0.5000 0.5000 0.5000

**Formation enthalpy at 0 K**: 2.216 eV per atom
**DOS at the Fermi energy**: 6.6 states/eV/f.u.


[5]
An optimized crystal structure of MgTl2Bi2. Source: Alexandria via LeMat-Bulk, functional GGA-PBEsol.

a b c (Å): 7.7019 7.7019 5.2501
angles (deg): 90.00 90.00 90.00
Fractional positions:
Mg 0.0000 0.0000 0.0000
Mg 0.5000 0.5000 0.0000
Tl 0.1674 0.3326 0.5000
Tl 0.3326 0.8326 0.5000
Tl 0.6674 0.1674 0.5000
Tl 0.8326 0.6674 0.5000
Bi 0.1403 0.6403 0.0000
Bi 0.3597 0.1403 0.0000
Bi 0.6403 0.8597 0.0000
Bi 0.8597 0.3597 0.0000

**Formation enthalpy at 0 K**: -0.011 eV per atom
**DOS at the Fermi energy**: 1.5 states/eV/f.u.


[6]
An optimized crystal structure of Mg2Bi2W. Source: Alexandria via LeMat-Bulk, functional GGA-PBEsol.

a b c (Å): 4.3879 4.3879 13.9785
angles (deg): 90.00 90.00 90.00
Fractional positions:
Mg 0.0000 0.0000 0.0945
Mg 0.0000 0.0000 0.9055
Mg 0.5000 0.5000 0.4055
Mg 0.5000 0.5000 0.5945
Bi 0.0000 0.5000 0.2500
Bi 0.0000 0.5000 0.7500
Bi 0.5000 0.0000 0.2500
Bi 0.5000 0.0000 0.7500
W 0.0000 0.0000 0.5000
W 0.5000 0.5000 0.0000

**Formation enthalpy at 0 K**: 1.202 eV per atom
**DOS at the Fermi energy**: 3.5 states/eV/f.u.


[7]
An optimized crystal structure of MgBiW3. Source: Alexandria via LeMat-Bulk, functional GGA-PBEsol.

a b c (Å): 4.9844 4.9844 4.9844
angles (deg): 90.00 90.00 90.00
Fractional positions:
Mg 0.0000 0.0000 0.0000
Bi 0.5000 0.5000 0.5000
W 0.0000 0.5000 0.5000
W 0.5000 0.0000 0.5000
W 0.5000 0.5000 0.0000

**Formation enthalpy at 0 K**: 2.961 eV per atom
**DOS at the Fermi energy**: 5.0 states/eV/f.u.


[8]
An optimized crystal structure of YMg2Bi. Source: Alexandria via LeMat-Bulk, functional GGA-PBEsol.

a b c (Å): 8.6491 8.6491 6.0652
angles (deg): 90.00 90.00 90.00
Fractional positions:
Y 0.0000 0.0000 0.0000
Y 0.0000 0.5000 0.2500
Y 0.5000 0.0000 0.7500
Y 0.5000 0.5000 0.5000
Mg 0.2148 0.2500 0.6250
Mg 0.2500 0.7148 0.8750
Mg 0.2500 0.7852 0.3750
Mg 0.2852 0.2500 0.1250
Mg 0.7148 0.7500 0.1250
Mg 0.7500 0.2148 0.3750
Mg 0.7500 0.2852 0.8750
Mg 0.7852 0.7500 0.6250
Bi 0.0000 0.0000 0.5000
Bi 0.0000 0.5000 0.7500
Bi 0.5000 0.0000 0.2500
Bi 0.5000 0.5000 0.0000

**Formation enthalpy at 0 K**: -0.117 eV per atom
**DOS at the Fermi energy**: 1.4 states/eV/f.u.


[9]
An optimized crystal structure of MgZnBi2. Source: Alexandria via LeMat-Bulk, functional GGA-PBEsol.

a b c (Å): 7.3182 7.3182 7.3182
angles (deg): 90.00 90.00 90.00
Fractional positions:
Mg 0.0000 0.0000 0.0000
Mg 0.0000 0.5000 0.5000
Mg 0.5000 0.0000 0.5000
Mg 0.5000 0.5000 0.0000
Zn 0.0000 0.0000 0.5000
Zn 0.0000 0.5000 0.0000
Zn 0.5000 0.0000 0.0000
Zn 0.5000 0.5000 0.5000
Bi 0.2500 0.2500 0.2500
Bi 0.2500 0.2500 0.7500
Bi 0.2500 0.7500 0.2500
Bi 0.2500 0.7500 0.7500
Bi 0.7500 0.2500 0.2500
Bi 0.7500 0.2500 0.7500
Bi 0.7500 0.7500 0.2500
Bi 0.7500 0.7500 0.7500

**Formation enthalpy at 0 K**: 0.087 eV per atom
**DOS at the Fermi energy**: 2.5 states/eV/f.u.


[10]
An optimized crystal structure of MgZr3Bi. Source: Alexandria via LeMat-Bulk, functional GGA-PBEsol.

a b c (Å): 5.0095 5.0095 5.0095
angles (deg): 90.00 90.00 90.00
Fractional positions:
Mg 0.0000 0.0000 0.0000
Zr 0.0000 0.0000 0.5000
Zr 0.0000 0.5000 0.0000
Zr 0.5000 0.0000 0.0000
Bi 0.5000 0.5000 0.5000

**Formation enthalpy at 0 K**: 0.818 eV per atom
**DOS at the Fermi energy**: 5.9 states/eV/f.u.


[11]
An optimized crystal structure of MgZrBi3. Source: Alexandria via LeMat-Bulk, functional GGA-PBEsol.

a b c (Å): 5.3364 5.3364 5.3364
angles (deg): 90.00 90.00 90.00
Fractional positions:
Mg 0.0000 0.0000 0.0000
Zr 0.5000 0.5000 0.5000
Bi 0.0000 0.0000 0.5000
Bi 0.0000 0.5000 0.0000
Bi 0.5000 0.0000 0.0000

**Formation enthalpy at 0 K**: 0.738 eV per atom
**DOS at the Fermi energy**: 6.2 states/eV/f.u.


[12]
An optimized crystal structure of MnBiMo3. Source: Alexandria via LeMat-Bulk, functional GGA-PBEsol.

a b c (Å): 4.4913 4.4913 4.4913
angles (deg): 90.00 90.00 90.00
Fractional positions:
Mn 0.0000 0.0000 0.0000
Bi 0.5000 0.5000 0.5000
Mo 0.0000 0.0000 0.5000
Mo 0.0000 0.5000 0.0000
Mo 0.5000 0.0000 0.0000

**Formation enthalpy at 0 K**: 1.090 eV per atom
**DOS at the Fermi energy**: 6.8 states/eV/f.u.